# PrScGa4, relaxed, DFT PBE-GGA
data_PrScGa4
_cell_length_a 4.2176
_cell_length_b 7.3711
_cell_length_c 8.1346
_cell_angle_alpha 90.00
_cell_angle_beta 90.00
_cell_angle_gamma 90.00
_symmetry_space_group_name_H-M 'I m m m'
_symmetry_Int_Tables_number 71
_symmetry_space_group_name_Hall '-I 2 2'
loop_
_atom_site_label
_atom_site_type_symbol
_atom_site_fract_x
_atom_site_fract_y
_atom_site_fract_z
Pr1 Pr 0.0000 0.0000 0.0000
Sc1 Sc 0.0000 0.0000 0.5000
Ga1 Ga 0.0000 0.3345 0.2387
# Energy above the lowest structure with this stoichiometry   0.000 eV per atom
# Spin magnetization   0.00 μB per formula unit
# Energy of formation   -0.56 eV/atom
# Crystal system   orthorhombic
# Calculated density   6.10 g/cm3
# D(E_F)   0.5078 states/eV/atom
# Total energy   -53.1 eV/cell


# Pm5Y4Tl4, relaxed, DFT PBE-GGA
data_Pm5Y4Tl4
_cell_length_a 12.5204
_cell_length_b 12.5204
_cell_length_c 5.1304
_cell_angle_alpha 90.00
_cell_angle_beta 90.00
_cell_angle_gamma 90.00
_symmetry_space_group_name_H-M 'I 4/m'
_symmetry_Int_Tables_number 87
_symmetry_space_group_name_Hall '-I 4'
loop_
_atom_site_label
_atom_site_type_symbol
_atom_site_fract_x
_atom_site_fract_y
_atom_site_fract_z
Pm1 Pm 0.0000 0.0000 0.0000
Pm2 Pm 0.1027 0.8107 0.5000
Y1 Y 0.0943 0.6059 0.0000
Tl1 Tl 0.1019 0.2371 0.0000
# Spin magnetization   0.00 μB per formula unit
# Energy of formation   -0.26 eV/atom
# Crystal system   tetragonal
# Calculated density   7.84 g/cm3
# D(E_F)   1.0770 states/eV/atom
# Total energy   -125.0 eV/cell


# YLuPd2, relaxed, DFT PBE-GGA
data_YLuPd2
_cell_length_a 4.9547
_cell_length_b 4.9547
_cell_length_c 3.4250
_cell_angle_alpha 90.00
_cell_angle_beta 90.00
_cell_angle_gamma 90.00
_symmetry_space_group_name_H-M 'P 4/m m m'
_symmetry_Int_Tables_number 123
_symmetry_space_group_name_Hall '-P 4 2'
loop_
_atom_site_label
_atom_site_type_symbol
_atom_site_fract_x
_atom_site_fract_y
_atom_site_fract_z
Y1 Y 0.0000 0.0000 0.0000
Lu1 Lu 0.5000 0.5000 0.0000
Pd1 Pd 0.0000 0.5000 0.5000
# Energy above the lowest structure with this stoichiometry   0.005 eV per atom
# Spin magnetization   0.00 μB per formula unit
# Energy of formation   -0.92 eV/atom
# Crystal system   tetragonal
# Calculated density   9.41 g/cm3
# D(E_F)   0.5209 states/eV/atom
# Total energy   -25.0 eV/cell


# Y2Zn3, relaxed, DFT PBE-GGA
data_Y2Zn3
_cell_length_a 9.9852
_cell_length_b 14.8622
_cell_length_c 5.8114
_cell_angle_alpha 90.00
_cell_angle_beta 90.00
_cell_angle_gamma 90.00
_symmetry_space_group_name_H-M 'F d d 2'
_symmetry_Int_Tables_number 43
_symmetry_space_group_name_Hall 'F 2 -2d'
loop_
_atom_site_label
_atom_site_type_symbol
_atom_site_fract_x
_atom_site_fract_y
_atom_site_fract_z
Y1 Y 0.0806 0.1977 0.0000
Zn1 Zn 0.0000 0.0000 0.1992
Zn2 Zn 0.0763 0.1225 0.5055
# Spin magnetization   0.00 μB per formula unit
# Energy of formation   -0.32 eV/atom
# Crystal system   orthorhombic
# Calculated density   5.76 g/cm3
# D(E_F)   1.3394 states/eV/atom
# Total energy   -146.8 eV/cell


# As2P, relaxed, DFT PBE-GGA
data_As2P
_cell_length_a 6.5203
_cell_length_b 6.5203
_cell_length_c 5.2676
_cell_angle_alpha 90.00
_cell_angle_beta 90.00
_cell_angle_gamma 90.00
_symmetry_space_group_name_H-M 'I 4/m c m'
_symmetry_Int_Tables_number 140
_symmetry_space_group_name_Hall '-I 4 2c'
loop_
_atom_site_label
_atom_site_type_symbol
_atom_site_fract_x
_atom_site_fract_y
_atom_site_fract_z
As1 As 0.1346 0.3654 0.0000
P1 P 0.0000 0.0000 0.2500
# Energy above the lowest structure with this stoichiometry   0.492 eV per atom
# Spin magnetization   0.00 μB per formula unit
# Energy of formation   0.55 eV/atom
# Crystal system   tetragonal
# Calculated density   5.36 g/cm3
# D(E_F)   0.4555 states/eV/atom
# Total energy   -52.2 eV/cell


# Sc8Cu2Ag, relaxed, DFT PBE-GGA
data_Sc8Cu2Ag
_cell_length_a 17.6498
_cell_length_b 3.3192
_cell_length_c 8.2198
_cell_angle_alpha 90.00
_cell_angle_beta 103.59
_cell_angle_gamma 90.00
_symmetry_space_group_name_H-M 'C 1 2/m 1'
_symmetry_Int_Tables_number 12
_symmetry_space_group_name_Hall '-C 2y'
loop_
_atom_site_label
_atom_site_type_symbol
_atom_site_fract_x
_atom_site_fract_y
_atom_site_fract_z
Sc1 Sc 0.0339 0.0000 0.2237
Sc2 Sc 0.1186 0.5000 0.9800
Sc3 Sc 0.1326 0.0000 0.6571
Sc4 Sc 0.1925 0.5000 0.3603
Cu1 Cu 0.2456 0.0000 0.1290
Ag1 Ag 0.0000 0.5000 0.5000
# Spin magnetization   0.00 μB per formula unit
# Energy of formation   -0.09 eV/atom
# Crystal system   monoclinic
# Calculated density   4.22 g/cm3
# D(E_F)   1.2252 states/eV/atom
# Total energy   -125.5 eV/cell


# Dy2SbRh3, relaxed, DFT PBE-GGA
data_Dy2SbRh3
_cell_length_a 5.6827
_cell_length_b 5.6827
_cell_length_c 12.3832
_cell_angle_alpha 90.00
_cell_angle_beta 90.00
_cell_angle_gamma 120.00
_symmetry_space_group_name_H-M 'R -3 m'
_symmetry_Int_Tables_number 166
_symmetry_space_group_name_Hall '-R 3 2"'
loop_
_atom_site_label
_atom_site_type_symbol
_atom_site_fract_x
_atom_site_fract_y
_atom_site_fract_z
Dy1 Dy 0.0000 0.0000 0.1278
Sb1 Sb 0.0000 0.0000 0.5000
Rh1 Rh 0.0000 0.5000 0.0000
# Spin magnetization   0.00 μB per formula unit
# Crystal system   trigonal
# Calculated density   10.87 g/cm3
# Formation energy from raw total energies   -0.853 eV per atom
# D(E_F)   0.6048 states/eV/atom
# Total energy   -121.5 eV/cell


# SrAsOs2, relaxed, DFT PBE-GGA
data_SrAsOs2
_cell_length_a 5.0061
_cell_length_b 2.7866
_cell_length_c 5.6302
_cell_angle_alpha 90.00
_cell_angle_beta 110.73
_cell_angle_gamma 90.00
_symmetry_space_group_name_H-M 'P 1 2/m 1'
_symmetry_Int_Tables_number 10
_symmetry_space_group_name_Hall '-P 2y'
loop_
_atom_site_label
_atom_site_type_symbol
_atom_site_fract_x
_atom_site_fract_y
_atom_site_fract_z
Sr1 Sr 0.0000 0.0000 0.0000
As1 As 0.5000 0.5000 0.0000
Os1 Os 0.0000 0.5000 0.5000
Os2 Os 0.5000 0.0000 0.5000
# Spin magnetization   0.00 μB per formula unit
# Energy of formation   0.81 eV/atom
# Crystal system   monoclinic
# Calculated density   12.27 g/cm3
# D(E_F)   0.9614 states/eV/atom
# Total energy   -25.6 eV/cell


- Among the records above, which one has the lowest total energy?
  Y2Zn3